# Tl3HgMo2O8

Crystalline Tl3HgMo2O8 at its relaxed geometry (PBE+U, Alexandria).

Computed properties:
Mass density = 6.7 Mg/m³
Crystal system = trigonal
Electronic total energy = -77.8 eV per cell
Magnetization = 0.9 Bohr magnetons per cell

Geometry as POSCAR:
```
Tl3HgMo2O8
1.0
6.307 0.000 0.000
-3.154 5.462 0.000
0.000 0.000 8.194
Tl Hg Mo O
3 1 2 8
direct
0.000 0.000 0.000
0.333 0.667 0.671
0.667 0.333 0.329
0.000 0.000 0.500
0.333 0.667 0.194
0.667 0.333 0.806
0.178 0.356 0.269
0.178 0.822 0.269
0.333 0.667 0.975
0.356 0.178 0.731
0.644 0.822 0.269
0.667 0.333 0.025
0.822 0.178 0.731
0.822 0.644 0.731
```